Material: K2BaInCl8
Method: DFT, PBE
State: relaxed

Cell lengths 6.0091, 7.1243, 9.1311 Å; angles 87.42, 89.98, 85.12 degrees
Space group P-1 (No. 2)
Unique sites:
K 0.0172 0.4761 0.2647 [2 per cell]
Ba 0.5000 0.0000 0.0000 [1 per cell]
In 0.5000 0.0000 0.5000 [1 per cell]
Cl 0.0326 0.2308 0.9958 [2 per cell]
Cl 0.1134 0.1678 0.5266 [2 per cell]
Cl 0.4097 0.7711 0.3032 [2 per cell]
Cl 0.4380 0.7616 0.7126 [2 per cell]

Results
crystal system: triclinic
magnetic moment: 1.03 μB per formula unit
calculated total energy: -3.371 eV per atom
DOS at the Fermi energy: 4.6 states/eV/f.u.
energy relative to the elements, uncorrected: -18.8 eV/f.u.